Computed, not measured: a geometry-optimized K2BaI4 structure at the PBE level of DFT.

The space group is C2/m (No. 12) and the conventional cell measures 17.603, 5.130 and 9.064 Å, with angles of 90.00, 115.68 and 90.00 degrees. Symmetry generates all atoms from K at (0.210, 0.000, 0.191), Ba at (0.000, 0.500, 0.500), I at (0.115, 0.500, 0.916) and I at (0.139, 0.000, 0.508).

The value obtained for the volume is 737.7 Å³ per cell.

***

Computed, not measured: a geometry-optimized K4BaI5 structure at the PBE level of DFT.

The space group is Immm (No. 71) and the conventional cell measures 4.834, 7.181 and 26.509 Å, with angles of 90.00, 90.00 and 90.00 degrees. Symmetry generates all atoms from K at (0.000, 0.000, 0.100), K at (0.000, 0.000, 0.298), Ba at (0.000, 0.000, 0.500), I at (0.000, 0.500, 0.102), I at (0.000, 0.500, 0.301) and I at (0.000, 0.500, 0.500).

The value obtained for the volume is 920.3 Å³ per cell.

***

Looking at formation energy from raw total energies for the records above, in order, we have -11.05, -14.04 eV per formula unit.